1.
A geometry-optimized CeMn9Ge4 structure. Source: the Alexandria database, functional GGA-PBE.

```
CeMn9Ge4
1.0
-4.0055 4.0055 5.9170
4.0055 -4.0055 5.9170
4.0055 4.0055 -5.9170
Ce Mn Ge
2 18 8
Direct
0.2500 0.2500 0.0000
0.7500 0.7500 0.0000
0.0000 0.5000 0.5000
0.0552 0.8110 0.8661
0.0584 0.5584 0.2701
0.1890 0.0552 0.2442
0.2117 0.9416 0.5000
0.2883 0.7883 0.7299
0.3110 0.5552 0.8661
0.4416 0.7117 0.5000
0.4448 0.3110 0.7558
0.5000 0.0000 0.5000
0.5552 0.6890 0.2442
0.5584 0.2883 0.5000
0.6890 0.4448 0.1339
0.7117 0.2117 0.2701
0.7883 0.0584 0.5000
0.8110 0.9448 0.7558
0.9416 0.4416 0.7299
0.9448 0.1890 0.1339
0.0542 0.1944 0.5000
0.1944 0.6944 0.1401
0.3056 0.4458 0.5000
0.4458 0.9458 0.1401
0.5542 0.0542 0.8599
0.6944 0.5542 0.5000
0.8056 0.3056 0.8599
0.9458 0.8056 0.5000
```

Summary:
For the spin magnetization, the calculation gives 6.89 μB per formula unit. As for the calculated formation energy: -0.1920 eV/atom. As for the total DFT energy (no corrections): -7.830 eV per atom.



2.
A geometry-optimized CsTl4Bi4 structure. Source: the Alexandria database, functional GGA-PBE.

```
CsTl4Bi4
1.0
6.8828 0.0000 0.0000
0.0000 6.8828 0.0000
0.0000 0.0000 15.0709
Cs Tl Bi
2 8 8
Direct
0.2500 0.7500 0.2500
0.7500 0.2500 0.7500
0.0006 0.7500 0.6577
0.2500 0.5006 0.8423
0.2500 0.9994 0.8423
0.4994 0.7500 0.6577
0.5006 0.2500 0.3423
0.7500 0.0006 0.1577
0.7500 0.4994 0.1577
0.9994 0.2500 0.3423
0.0173 0.2500 0.0064
0.2500 0.0173 0.5064
0.2500 0.4827 0.5064
0.4827 0.2500 0.0064
0.5173 0.7500 0.9936
0.7500 0.5173 0.4936
0.7500 0.9827 0.4936
0.9827 0.7500 0.9936
```

Summary:
For the spin magnetization, the calculation gives 0.00 μB per formula unit. As for the calculated formation energy: -0.0788 eV/atom. As for the total DFT energy (no corrections): -2.950 eV per atom.